The following is a DFT calculation (meta-GGA SCAN) of a PBEsol-optimized structure of Y2SiRh.

Properties
E_tot (eV per cell): -103.2
D(E_F) (states/eV/cell): 2.37
ΔE_f (raw) (kcal/mol of atoms): -21.7
Symmetry: No. 38

abc: 3.951 4.091 5.613
angles: 111.37 90.00 90.00
Atoms (fractional coordinates):
Y 0.000 0.109 0.217
Y 0.500 0.391 0.782
Si 0.500 0.683 0.365
Rh 0.000 0.826 0.653